Record 1
First-principles (PBE) data for a relaxed structure of Dy2Ho12Tm5, as listed in Alexandria.

Properties
calculated formation energy = 0.13 eV/atom
excess energy over the best structure of this formula in the dataset = 0.111 eV per formula unit

a = 9.0918 Å, b = 9.0264 Å, c = 8.4126 Å
α = 90.78°, β = 90.00°, γ = 120.24°
Closest atoms and distances in Å follow each position.
Sites, in units of the cell vectors:
Tm (0.3026, 0.6051, 0.9897)  8 Ho 3.37-3.59, 2 Dy 3.48, 1 Tm 3.64
Tm (0.0000, 0.0000, 0.5000)  10 Ho 3.53-3.67, 2 Tm 3.67
Tm (0.7676, 0.5352, 0.4254)  10 Ho 3.32-3.70, 2 Tm 3.64-3.67
Tm (0.2324, 0.4648, 0.5746)  10 Ho 3.32-3.70, 2 Tm 3.64-3.67
Tm (0.6974, 0.3949, 0.0103)  8 Ho 3.37-3.59, 2 Dy 3.48, 1 Tm 3.64
Ho (0.4331, 0.2531, 0.6603)  4 Tm 3.32-3.66, 6 Ho 3.37-3.72, 1 Dy 3.50
Ho (0.3379, 0.3116, 0.2433)  4 Ho 3.31-3.56, 1 Dy 3.40, 5 Tm 3.44-3.70
Ho (0.0263, 0.6884, 0.7567)  4 Ho 3.31-3.56, 1 Dy 3.40, 5 Tm 3.44-3.70
Ho (0.9737, 0.3116, 0.2433)  4 Ho 3.31-3.56, 1 Dy 3.40, 5 Tm 3.44-3.70
Ho (0.5669, 0.7469, 0.3397)  4 Tm 3.32-3.66, 6 Ho 3.37-3.72, 1 Dy 3.50
Ho (0.0929, 0.1859, 0.8850)  3 Tm 3.37-3.53, 2 Dy 3.41, 5 Ho 3.41-3.56
Ho (0.5581, 0.1161, 0.3340)  2 Tm 3.35-3.51, 7 Ho 3.35-3.42, 2 Dy 3.36
Ho (0.1801, 0.7469, 0.3397)  4 Tm 3.32-3.66, 6 Ho 3.37-3.72, 1 Dy 3.50
Ho (0.9071, 0.8141, 0.1150)  3 Tm 3.37-3.53, 2 Dy 3.41, 5 Ho 3.41-3.56
Ho (0.4419, 0.8839, 0.6660)  2 Tm 3.35-3.51, 7 Ho 3.35-3.42, 2 Dy 3.36
Ho (0.8199, 0.2531, 0.6603)  4 Tm 3.32-3.66, 6 Ho 3.37-3.72, 1 Dy 3.50
Ho (0.6621, 0.6884, 0.7567)  4 Ho 3.31-3.56, 1 Dy 3.40, 5 Tm 3.44-3.70
Dy (0.6788, 0.0000, 0.0000)  1 Dy 3.25, 8 Ho 3.36-3.50, 2 Tm 3.48
Dy (0.3212, 0.0000, 0.0000)  1 Dy 3.25, 8 Ho 3.36-3.50, 2 Tm 3.48

***

Record 2
First-principles (PBE) data for a relaxed structure of ZrGeAsSe2, as listed in Alexandria.

Properties
excess energy over the best structure of this formula in the dataset = 1.499 eV per formula unit

a = 4.8727 Å, b = 4.8727 Å, c = 4.8983 Å
α = 90.00°, β = 90.00°, γ = 90.00°
Closest atoms and distances in Å follow each position.
Sites, in units of the cell vectors:
Ge (0.0000, 0.0000, 0.0000)  4 Se 2.44, 2 As 2.45
Zr (0.5000, 0.5000, 0.5000)  4 As 3.45, 8 Se 3.45
Se (0.5000, 0.0000, 0.0000)  2 Ge 2.44
Se (0.0000, 0.5000, 0.0000)  2 Ge 2.44
As (0.0000, 0.0000, 0.5000)  2 Ge 2.45

***

Record 3
First-principles (PBE) data for a relaxed structure of Ca3VCl, as listed in Alexandria.

Properties
excess energy over the best structure of this formula in the dataset = 1.763 eV per formula unit

a = 5.8872 Å, b = 5.8872 Å, c = 5.8872 Å
α = 90.00°, β = 90.00°, γ = 90.00°
Closest atoms and distances in Å follow each position.
Sites, in units of the cell vectors:
Ca (0.0000, 0.0000, 0.5000)  2 V 2.94
Ca (0.5000, 0.0000, 0.0000)  2 V 2.94
Ca (0.0000, 0.5000, 0.0000)  2 V 2.94
Cl (0.5000, 0.5000, 0.5000)  12 Ca 4.16
V (0.0000, 0.0000, 0.0000)  6 Ca 2.94

***

Record 4
First-principles (PBE) data for a relaxed structure of Sm2CoPb, as listed in Alexandria.

Properties
calculated formation energy = 0.01 eV/atom
excess energy over the best structure of this formula in the dataset = 1.044 eV per formula unit

a = 3.7948 Å, b = 3.7948 Å, c = 9.9595 Å
α = 79.02°, β = 79.02°, γ = 60.00°
Closest atoms and distances in Å follow each position.
Sites, in units of the cell vectors:
Pb (0.0000, 0.0000, 0.0000)  2 Sm 3.30
Sm (0.1133, 0.1133, 0.6600)  3 Co 2.69
Sm (0.8867, 0.8867, 0.3400)  3 Co 2.69
Co (0.5000, 0.5000, 0.5000)  6 Sm 2.69

***

Record 5
First-principles (PBE) data for a relaxed structure of CuRu2Rh, as listed in Alexandria.

Properties
calculated formation energy = 0.13 eV/atom
excess energy over the best structure of this formula in the dataset = 0.043 eV per formula unit

a = 8.8016 Å, b = 8.8016 Å, c = 8.8016 Å
α = 17.71°, β = 17.71°, γ = 17.71°
Closest atoms and distances in Å follow each position.
Sites, in units of the cell vectors:
Cu (0.5000, 0.5000, 0.5000)  3 Rh 2.66, 3 Ru 2.69, 6 Cu 2.71
Ru (0.2510, 0.2510, 0.2510)  9 Ru 2.62-2.71, 3 Cu 2.69
Ru (0.9987, 0.9987, 0.9987)  9 Ru 2.62-2.71, 3 Rh 2.71
Rh (0.7504, 0.7504, 0.7504)  3 Cu 2.66, 3 Ru 2.71, 6 Rh 2.71

***

Record 6
First-principles (PBE) data for a relaxed structure of Ac2TbYSe4, as listed in Alexandria.

Properties
total DFT energy (no corrections) = -5.968 eV/atom

a = 4.1569 Å, b = 7.2360 Å, c = 7.7395 Å
α = 108.05°, β = 90.00°, γ = 90.00°
Closest atoms and distances in Å follow each position.
Sites, in units of the cell vectors:
Se (0.0000, 0.2596, 0.7792)  2 Tb 2.90, 1 Y 2.91, 3 Ac 3.16-3.17
Se (0.5000, 0.7605, 0.7795)  2 Y 2.90, 1 Tb 2.91, 3 Ac 3.16-3.17
Se (0.0000, 0.7404, 0.2208)  2 Tb 2.90, 1 Y 2.91, 3 Ac 3.16-3.17
Se (0.5000, 0.2394, 0.2205)  2 Y 2.90, 1 Tb 2.91, 3 Ac 3.16-3.17
Ac (0.5000, 0.0000, 0.5000)  6 Se 3.16
Ac (0.0000, 0.5000, 0.5000)  6 Se 3.17
Y (0.0000, 0.0000, 0.0000)  6 Se 2.90-2.91
Tb (0.5000, 0.5000, 0.0000)  6 Se 2.90-2.91

***

Record 7
First-principles (PBE) data for a relaxed structure of Tm2Ga5Pd4, as listed in Alexandria.

Properties
calculated formation energy = -0.72 eV/atom

a = 5.3339 Å, b = 5.2401 Å, c = 8.7642 Å
α = 81.09°, β = 72.28°, γ = 59.41°
Closest atoms and distances in Å follow each position.
Sites, in units of the cell vectors:
Ga (0.5000, 0.5000, 0.0000)  4 Ga 2.62-2.67, 4 Pd 2.67
Ga (0.2500, 0.5000, 0.5000)  4 Pd 2.53, 2 Ga 2.67
Ga (0.5000, 0.0000, 0.0000)  4 Ga 2.62, 4 Pd 2.62
Ga (0.7500, 0.5000, 0.5000)  4 Pd 2.53, 2 Ga 2.67
Ga (0.0000, 0.5000, 0.0000)  4 Ga 2.62-2.67, 4 Pd 2.67
Tm (0.8786, 0.0000, 0.2429)  6 Pd 3.05, 10 Ga 3.31-3.39
Tm (0.1214, 0.0000, 0.7571)  6 Pd 3.05, 10 Ga 3.31-3.39
Pd (0.5325, 0.6748, 0.2601)  5 Ga 2.53-2.67
Pd (0.7926, 0.6748, 0.7399)  5 Ga 2.53-2.67
Pd (0.2074, 0.3252, 0.2601)  5 Ga 2.53-2.67
Pd (0.4675, 0.3252, 0.7399)  5 Ga 2.53-2.67

***

Record 8
First-principles (PBE) data for a relaxed structure of TaF2, as listed in Alexandria.

Properties
excess energy over the best structure of this formula in the dataset = 0.000 eV per formula unit

a = 4.9918 Å, b = 2.9040 Å, c = 13.3630 Å
α = 90.00°, β = 107.96°, γ = 90.00°
Closest atoms and distances in Å follow each position.
Sites, in units of the cell vectors:
F (0.3306, 0.5000, 0.7927)  1 Ta 1.92
F (0.8171, 0.0000, 0.7005)  2 Ta 2.11
F (0.0198, 0.0000, 0.9096)  2 Ta 2.10
F (0.8171, 0.5000, 0.2005)  2 Ta 2.11
F (0.5871, 0.5000, 0.5320)  3 Ta 2.18-2.43
F (0.3306, 0.0000, 0.2927)  1 Ta 1.92
F (0.5871, 0.0000, 0.0320)  3 Ta 2.18-2.43
F (0.0198, 0.5000, 0.4096)  2 Ta 2.10
Ta (0.2512, 0.0000, 0.5144)  4 F 2.10-2.18
Ta (0.0620, 0.0000, 0.1539)  3 F 1.92-2.11
Ta (0.2512, 0.5000, 0.0144)  4 F 2.10-2.18
Ta (0.0620, 0.5000, 0.6539)  3 F 1.92-2.11

***

Record 9
First-principles (PBE) data for a relaxed structure of Ca6ThTe8, as listed in Alexandria.

Properties
total DFT energy (no corrections) = -4.520 eV/atom

a = 9.0493 Å, b = 9.0493 Å, c = 9.0493 Å
α = 60.00°, β = 60.00°, γ = 60.00°
Closest atoms and distances in Å follow each position.
Sites, in units of the cell vectors:
Te (0.7533, 0.2467, 0.2467)  1 Th 3.16, 4 Ca 3.20
Te (0.2467, 0.7533, 0.2467)  1 Th 3.16, 4 Ca 3.20
Te (0.7533, 0.7533, 0.2467)  1 Th 3.16, 4 Ca 3.20
Te (0.7533, 0.2467, 0.7533)  1 Th 3.16, 4 Ca 3.20
Te (0.2467, 0.7533, 0.7533)  1 Th 3.16, 4 Ca 3.20
Te (0.2500, 0.2500, 0.2500)  6 Ca 3.20
Te (0.7500, 0.7500, 0.7500)  6 Ca 3.20
Te (0.2467, 0.2467, 0.7533)  1 Th 3.16, 4 Ca 3.20
Ca (0.0000, 0.5000, 0.5000)  6 Te 3.20
Ca (0.0000, 0.0000, 0.5000)  6 Te 3.20
Ca (0.5000, 0.5000, 0.0000)  6 Te 3.20
Ca (0.5000, 0.0000, 0.0000)  6 Te 3.20
Ca (0.5000, 0.0000, 0.5000)  6 Te 3.20
Ca (0.0000, 0.5000, 0.0000)  6 Te 3.20
Th (0.0000, 0.0000, 0.0000)  6 Te 3.16

***

Record 10
First-principles (PBE) data for a relaxed structure of Co2IrSe, as listed in Alexandria.

Properties
total DFT energy (no corrections) = -6.278 eV/atom

a = 8.1172 Å, b = 8.1172 Å, c = 8.1172 Å
α = 20.03°, β = 20.03°, γ = 20.03°
Closest atoms and distances in Å follow each position.
Sites, in units of the cell vectors:
Co (0.9997, 0.9997, 0.9997)  3 Se 2.45, 3 Co 2.50
Co (0.2538, 0.2538, 0.2538)  3 Co 2.50, 3 Ir 2.58
Ir (0.5033, 0.5033, 0.5033)  3 Co 2.58, 3 Se 2.76, 6 Ir 2.82
Se (0.7432, 0.7432, 0.7432)  3 Co 2.45

***

The records above yield total moment values of 0.0; 0.0; 5.8; 0.0; 0.0; 0.0; 0.0; 0.0; 0.0; 3.6 μB/cell, respectively.